(1)
The following is a DFT calculation (PBE-GGA) of FeIrPt2Rh4 after structural relaxation.

Results
The calculation puts the uncorrected energy at -59.16 eV per cell. The calculation puts the energy relative to the elements at -0.04 eV per atom. Its space group is P2/m. Its density of states at the Fermi level is 11.075 states/eV/f.u.

a b c (Å): 4.7128 2.7377 9.0757
angles (deg): 90.00 100.23 90.00
Closest atoms and distances in Å follow each position.
Atoms (fractional coordinates):
Fe1 0.0000 0.0000 0.0000  6 Rh 2.64-2.67, 4 Ir 2.73, 2 Fe 2.74
Ir1 0.5000 0.5000 0.0000  6 Rh 2.66, 4 Fe 2.73, 2 Ir 2.74
Pt1 0.0000 0.5000 0.5000  6 Pt 2.73-2.74, 6 Rh 2.81-2.82
Pt2 0.5000 0.0000 0.5000  6 Pt 2.73-2.74, 6 Rh 2.81-2.83
Rh1 0.2421 0.5000 0.2376  2 Fe 2.64, 1 Ir 2.66, 6 Rh 2.71-2.74, 3 Pt 2.82-2.83
Rh2 0.2543 0.0000 0.7601  2 Ir 2.66, 1 Fe 2.67, 6 Rh 2.71-2.74, 3 Pt 2.81
Rh3 0.7457 0.0000 0.2399  2 Ir 2.66, 1 Fe 2.67, 6 Rh 2.71-2.74, 3 Pt 2.81
Rh4 0.7579 0.5000 0.7624  2 Fe 2.64, 1 Ir 2.66, 6 Rh 2.71-2.74, 3 Pt 2.82-2.83



(2)
The following is a DFT calculation (PBE-GGA) of ZnInBr3 after structural relaxation.

Results
Its energy relative to the elements, uncorrected is -0.6532 eV per atom. The calculation puts the uncorrected energy at -12.30 eV per cell. Its space group is Pm-3m. Its density of states at the Fermi level is 0.000 states/eV/f.u.

a b c (Å): 5.2488 5.2488 5.2488
angles (deg): 90.00 90.00 90.00
Closest atoms and distances in Å follow each position.
Atoms (fractional coordinates):
Zn1 0.0000 0.0000 0.0000  6 Br 2.62
In1 0.5000 0.5000 0.5000  12 Br 3.71
Br1 0.0000 0.0000 0.5000  2 Zn 2.62
Br2 0.0000 0.5000 0.0000  2 Zn 2.62
Br3 0.5000 0.0000 0.0000  2 Zn 2.62



(3)
The following is a DFT calculation (PBE-GGA) of K3Tl5 after structural relaxation.

Results
The calculation puts the uncorrected energy at -31.38 eV per cell. The calculation puts the energy relative to the elements at -0.07 eV per atom. Its space group is Cm. Its density of states at the Fermi level is 4.813 states/eV/f.u.

a b c (Å): 9.8862 9.8862 9.4280
angles (deg): 94.78 94.78 137.10
Closest atoms and distances in Å follow each position.
Atoms (fractional coordinates):
K1 0.0000 0.0000 0.0000  7 Tl 3.49-3.76, 1 K 3.79
K2 0.0510 0.6093 0.8159  8 Tl 3.72-4.12, 2 K 3.77
K3 0.6093 0.0510 0.8159  8 Tl 3.72-4.12, 2 K 3.77
K4 0.6586 0.6586 0.6301  7 Tl 3.49-3.75, 1 K 3.79
K5 0.6692 0.9909 0.3153  10 Tl 3.67-3.94
K6 0.9909 0.6692 0.3153  10 Tl 3.67-3.94
Tl1 0.0522 0.2263 0.6855  4 Tl 3.14-3.30
Tl2 0.1207 0.4368 0.1463  3 Tl 3.12-3.43
Tl3 0.1396 0.1396 0.3795  5 Tl 3.27-3.43, 1 K 3.49
Tl4 0.2228 0.5402 0.4857  3 Tl 3.12-3.43
Tl5 0.2263 0.0522 0.6855  4 Tl 3.14-3.30
Tl6 0.4319 0.6061 0.9443  4 Tl 3.14-3.30
Tl7 0.4368 0.1207 0.1463  3 Tl 3.12-3.43
Tl8 0.5223 0.5223 0.2506  5 Tl 3.27-3.43, 1 K 3.49
Tl9 0.5402 0.2228 0.4857  3 Tl 3.12-3.43
Tl10 0.6061 0.4319 0.9443  4 Tl 3.14-3.30



(4)
The following is a DFT calculation (PBE-GGA) of CdIr2PbO8 after structural relaxation.

Results
Its energy relative to the elements, uncorrected is -0.3430 eV per atom. The calculation puts the uncorrected energy at -66.13 eV per cell. Its space group is P-3. Its density of states at the Fermi level is 6.398 states/eV/f.u.

a b c (Å): 5.9103 5.9103 6.3004
angles (deg): 90.00 90.00 120.00
Closest atoms and distances in Å follow each position.
Atoms (fractional coordinates):
Cd1 0.0000 0.0000 0.0000  2 Pb 3.15, 6 O 3.15
Ir1 0.3333 0.6667 0.4581  4 O 1.79-1.94
Ir2 0.6667 0.3333 0.5419  4 O 1.79-1.94
Pb1 0.0000 0.0000 0.5000  6 O 2.31
O1 0.0680 0.3934 0.6342  1 Ir 1.94
O2 0.3254 0.9320 0.6342  1 Ir 1.94
O3 0.3333 0.6667 0.1748  1 Ir 1.79
O4 0.3934 0.3254 0.3658  1 Ir 1.94
O5 0.6066 0.6746 0.6342  1 Ir 1.94
O6 0.6667 0.3333 0.8252  1 Ir 1.79
O7 0.6746 0.0680 0.3658  1 Ir 1.94
O8 0.9320 0.6066 0.3658  1 Ir 1.94



(5)
The following is a DFT calculation (PBE-GGA) of KZr3S6 after structural relaxation.

Results
Its energy relative to the elements, uncorrected is -1.5117 eV per atom. The calculation puts the uncorrected energy at -133.25 eV per cell. Its space group is P2_1/m. Its density of states at the Fermi level is 3.322 states/eV/f.u.

a b c (Å): 11.5507 3.6877 11.5841
angles (deg): 90.00 107.65 90.00
Closest atoms and distances in Å follow each position.
Atoms (fractional coordinates):
K1 0.0965 0.2500 0.3685  6 S 3.10-3.26
K2 0.9035 0.7500 0.6315  6 S 3.10-3.26
Zr1 0.1526 0.2500 0.0358  6 S 2.53-2.63
Zr2 0.2942 0.7500 0.7286  6 S 2.54-2.67
Zr3 0.4674 0.7500 0.3544  6 S 2.54-2.67
Zr4 0.5326 0.2500 0.6456  6 S 2.54-2.67
Zr5 0.7058 0.2500 0.2714  6 S 2.54-2.67
Zr6 0.8474 0.7500 0.9642  6 S 2.53-2.63
S1 0.0527 0.7500 0.1337  3 Zr 2.58-2.61
S2 0.1399 0.2500 0.6459  2 Zr 2.54
S3 0.2401 0.7500 0.9372  3 Zr 2.53-2.67
S4 0.3183 0.2500 0.2491  3 Zr 2.57-2.63
S5 0.3697 0.7500 0.5354  4 Zr 2.64-2.67
S6 0.4496 0.2500 0.8252  3 Zr 2.54-2.58
S7 0.5504 0.7500 0.1748  3 Zr 2.54-2.58
S8 0.6303 0.2500 0.4646  4 Zr 2.64-2.67
S9 0.6817 0.7500 0.7509  3 Zr 2.57-2.63
S10 0.7599 0.2500 0.0628  3 Zr 2.53-2.67
S11 0.8601 0.7500 0.3541  2 Zr 2.54
S12 0.9473 0.2500 0.8663  3 Zr 2.58-2.61



(6)
The following is a DFT calculation (PBE-GGA) of KTcNi after structural relaxation.

Results
The calculation puts the uncorrected energy at -31.30 eV per cell. The calculation puts the energy relative to the elements at 0.53 eV per atom. Its space group is P1. Its density of states at the Fermi level is 2.849 states/eV/f.u.

a b c (Å): 3.8021 4.4769 11.1883
angles (deg): 94.93 93.93 115.07
Closest atoms and distances in Å follow each position.
Atoms (fractional coordinates):
K1 0.0000 0.0000 0.0000  1 Ni 3.36, 3 Tc 3.47-3.61
K2 0.3316 0.4092 0.6179  4 Ni 3.24-3.58
Tc1 0.3800 0.6606 0.2302  4 Ni 2.37-2.65, 2 Tc 2.39
Tc2 0.8205 0.4978 0.3381  2 Tc 2.39, 4 Ni 2.49-2.55
Ni1 0.1118 0.0935 0.3039  2 Ni 2.47, 6 Tc 2.49-2.65
Ni2 0.5661 0.9512 0.4285  2 Tc 2.37-2.55, 2 Ni 2.47



(7)
The following is a DFT calculation (PBE-GGA) of NaBi2Pb after structural relaxation.

Results
The calculation puts the uncorrected energy at -13.40 eV per cell. The calculation puts the energy relative to the elements at -0.15 eV per atom. Its space group is Cmm2. Its density of states at the Fermi level is 1.571 states/eV/f.u.

a b c (Å): 6.1854 6.1854 3.4896
angles (deg): 90.00 90.00 111.53
Closest atoms and distances in Å follow each position.
Atoms (fractional coordinates):
Na1 0.0000 0.0000 0.0000  2 Na 3.49, 8 Bi 3.52-3.58, 2 Pb 3.53
Bi1 0.0000 0.5000 0.4814  2 Pb 3.33, 4 Bi 3.48-3.49, 4 Na 3.52-3.58
Bi2 0.5000 0.0000 0.4814  2 Pb 3.33, 4 Bi 3.48-3.49, 4 Na 3.52-3.58
Pb1 0.5000 0.5000 0.8348  4 Bi 3.33, 2 Pb 3.49, 2 Na 3.53



(8)
The following is a DFT calculation (PBE-GGA) of TcTeP2 after structural relaxation.

Results
Its energy relative to the elements, uncorrected is 0.2262 eV per atom. The calculation puts the uncorrected energy at -46.85 eV per cell. Its space group is I-42d. Its density of states at the Fermi level is 4.326 states/eV/f.u.

a b c (Å): 6.7471 6.7471 6.7471
angles (deg): 127.50 127.50 77.44
Closest atoms and distances in Å follow each position.
Atoms (fractional coordinates):
Tc1 0.0000 0.0000 0.0000  4 P 2.26
Tc2 0.7500 0.2500 0.5000  4 P 2.26
Te1 0.2500 0.7500 0.5000  4 P 2.76
Te2 0.5000 0.5000 0.0000  4 P 2.76
P1 0.0549 0.6250 0.9299  2 Tc 2.26
P2 0.3750 0.3049 0.4299  2 Tc 2.26
P3 0.6951 0.1250 0.0701  2 Tc 2.26
P4 0.8750 0.9451 0.5701  2 Tc 2.26



(9)
The following is a DFT calculation (PBE-GGA) of PrTmTh2Sb4 after structural relaxation.

Results
Its energy relative to the elements, uncorrected is -1.0146 eV per atom. The calculation puts the uncorrected energy at -48.70 eV per cell. Its space group is P2/m. Its density of states at the Fermi level is 4.471 states/eV/f.u.

a b c (Å): 7.7308 4.4877 7.7732
angles (deg): 90.00 109.64 90.00
Closest atoms and distances in Å follow each position.
Atoms (fractional coordinates):
Pr1 0.0000 0.0000 0.0000  6 Sb 3.18
Tm1 0.0000 0.5000 0.5000  6 Sb 3.12
Th1 0.5000 0.0000 0.5000  6 Sb 3.16
Th2 0.5000 0.5000 0.0000  6 Sb 3.22
Sb1 0.2428 0.0000 0.7415  2 Tm 3.12, 3 Th 3.16-3.22, 1 Pr 3.18
Sb2 0.2477 0.5000 0.2554  1 Tm 3.12, 3 Th 3.16-3.22, 2 Pr 3.18
Sb3 0.7523 0.5000 0.7446  1 Tm 3.12, 3 Th 3.16-3.22, 2 Pr 3.18
Sb4 0.7572 0.0000 0.2585  2 Tm 3.12, 3 Th 3.16-3.22, 1 Pr 3.18



(10)
The following is a DFT calculation (PBE-GGA) of DyTmMg4 after structural relaxation.

Results
The calculation puts the uncorrected energy at -15.80 eV per cell. The calculation puts the energy relative to the elements at -0.06 eV per atom. Its space group is F-43m. Its density of states at the Fermi level is 7.430 states/eV/f.u.

a b c (Å): 6.0110 6.0110 6.0110
angles (deg): 60.00 60.00 60.00
Closest atoms and distances in Å follow each position.
Atoms (fractional coordinates):
Dy1 0.0000 0.0000 0.0000  12 Mg 3.52, 4 Tm 3.68
Tm1 0.7500 0.7500 0.7500  12 Mg 3.52, 4 Dy 3.68
Mg1 0.3750 0.3750 0.3750  6 Mg 3.01
Mg2 0.3750 0.3750 0.8750  6 Mg 3.01
Mg3 0.3750 0.8750 0.3750  6 Mg 3.01
Mg4 0.8750 0.3750 0.3750  6 Mg 3.01



(11)
The following is a DFT calculation (PBE-GGA) of Ac4RhAu3 after structural relaxation.

Results
The calculation puts the uncorrected energy at -39.48 eV per cell. The calculation puts the energy relative to the elements at -0.73 eV per atom. Its space group is Pm-3m. Its density of states at the Fermi level is 3.222 states/eV/f.u.

a b c (Å): 6.3570 6.3570 6.3570
angles (deg): 90.00 90.00 90.00
Closest atoms and distances in Å follow each position.
Atoms (fractional coordinates):
Ac1 0.0000 0.0000 0.0000  6 Au 3.18
Ac2 0.0000 0.5000 0.5000  2 Rh 3.18, 4 Au 3.18
Ac3 0.5000 0.0000 0.5000  2 Rh 3.18, 4 Au 3.18
Ac4 0.5000 0.5000 0.0000  2 Rh 3.18, 4 Au 3.18
Rh1 0.5000 0.5000 0.5000  6 Ac 3.18
Au1 0.0000 0.0000 0.5000  6 Ac 3.18
Au2 0.0000 0.5000 0.0000  6 Ac 3.18
Au3 0.5000 0.0000 0.0000  6 Ac 3.18



(12)
The following is a DFT calculation (PBE-GGA) of AcTlAsO4 after structural relaxation.

Results
Its energy relative to the elements, uncorrected is -1.6498 eV per atom. The calculation puts the uncorrected energy at -42.51 eV per cell. Its space group is F-43m. Its density of states at the Fermi level is 1.960 states/eV/f.u.

a b c (Å): 6.6407 6.6407 6.6407
angles (deg): 60.00 60.00 60.00
Closest atoms and distances in Å follow each position.
Atoms (fractional coordinates):
Ac1 0.0000 0.0000 0.0000  4 O 2.35
Tl1 0.2500 0.2500 0.2500  12 O 3.96, 4 Ac 4.07
As1 0.7500 0.7500 0.7500  4 O 1.72
O1 0.4330 0.8557 0.8557  1 As 1.72
O2 0.8557 0.4330 0.8557  1 As 1.72
O3 0.8557 0.8557 0.4330  1 As 1.72
O4 0.8557 0.8557 0.8557  1 As 1.72



> Number 11 is which compound?

Ac4RhAu3



> The highest uncorrected energy belongs to which entry?

ZnInBr3